Density functional theory data (GGA+U) for a geometry-optimized TiFePbO4 structure.

Electronic total energy ... -7.19 eV/atom
Density ... 5.76 g/cm³

a = 5.6880 Å, b = 5.9115 Å, c = 6.6542 Å
α = 90.00°, β = 104.92°, γ = 90.00°
Closest atoms and distances in Å follow each position.
Space group P2_1/m (No. 11)
One atom of each set of equivalent atoms:
Ti 0.2071 0.2500 0.1639 x2  4 O 1.82-1.86
Fe 0.3735 0.7500 0.9948 x2  5 O 2.06-2.21
Pb 0.2289 0.7500 0.4471 x2  2 O 2.33-2.41
O 0.0293 0.7500 0.0806 x2  1 Ti 1.82
O 0.0920 0.2500 0.3946 x2  1 Ti 1.82
O 0.4453 0.0279 0.1868 x4  1 Ti 1.86, 1 Fe 2.06